i | Density functional theory data (PBE) for an optimized crystal structure of SbSI2Br.

Cell lengths 5.351, 5.351, 5.772 Å; angles 90.00, 90.00, 90.00 degrees
Each line ends with the local moment (μB).
Atoms (fractional coordinates):
S: 0.000 0.000 0.000  0.01
Br: 0.500 0.500 0.500  -0.01
I: 0.000 0.500 0.000  0.02
I: 0.500 0.000 0.000  0.02
Sb: 0.000 0.000 0.500  0.29

Results
- space group = No. 123

=====

ii | Density functional theory data (PBE) for an optimized crystal structure of SbSI2Br.

Cell lengths 5.724, 5.724, 5.789 Å; angles 90.00, 90.00, 90.00 degrees
Atoms (fractional coordinates):
Sb: 0.000 0.000 0.500
I: 0.500 0.000 0.000
I: 0.000 0.500 0.000
S: 0.500 0.500 0.500
Br: 0.000 0.000 0.000

Results
- space group = No. 123

=====

Among the structures above, stability is smallest for ii.